# NdLuPtAu PBE optimized geometry
# - Energy of formation: -978 meV per atom
# - E_tot: -22.517 eV per formula unit
data_NdLuPtAu
_space_group_name_H-M_alt 'F -4 3 m'
_space_group_IT_number 216
_space_group_name_Hall 'F -4 2 3'
_cell_length_a 7.1510
_cell_length_b 7.1510
_cell_length_c 7.1510
_cell_angle_alpha 90.00
_cell_angle_beta 90.00
_cell_angle_gamma 90.00
loop_
_atom_site_label
_atom_site_fract_x
_atom_site_fract_y
_atom_site_fract_z
Nd1 0.0000 0.0000 0.0000
Lu1 0.0000 0.0000 0.5000
Pt1 0.2500 0.2500 0.7500
Au1 0.2500 0.2500 0.2500

---

# Er12GaCo6 PBE optimized geometry
# - Energy of formation: -133 meV per atom
# - Distance to the lowest polymorph of the same formula: 134.1 meV per atom
# - E_tot: -102.934 eV per formula unit
data_Er12GaCo6
_space_group_name_H-M_alt 'R -3'
_space_group_IT_number 148
_space_group_name_Hall '-R 3'
_cell_length_a 13.3427
_cell_length_b 13.3427
_cell_length_c 8.5910
_cell_angle_alpha 90.00
_cell_angle_beta 90.00
_cell_angle_gamma 120.00
loop_
_atom_site_label
_atom_site_fract_x
_atom_site_fract_y
_atom_site_fract_z
Er1 0.0397 0.7832 0.4250
Er2 0.0595 0.8785 0.8297
Ga1 0.0000 0.0000 0.5000
Co1 0.0761 0.5772 0.7864

---

- Look up the energy of formation of the first one.
  -978 meV per atom